Material: Na12H5O3
Method: DFT, PBE
State: optimized geometry

extended XYZ file:
```
80
Lattice="-6.853 6.853 6.853 6.853 -6.853 6.853 6.853 6.853 -6.853" Properties=species:S:1:pos:R:3 pbc="T T T"
Na 2.164 -0.274 0.929
Na 8.116 4.356 -3.700
Na 9.016 0.274 0.929
Na 8.116 -2.497 3.700
Na 6.579 -0.929 2.164
Na 10.553 -1.263 2.497
Na 0.929 2.164 -0.274
Na 9.350 3.153 -1.263
Na 4.356 3.700 -1.263
Na 5.924 2.164 0.274
Na -0.274 0.929 2.164
Na 3.700 -1.263 4.356
Na 6.579 5.924 -2.164
Na 3.700 1.263 2.497
Na 4.356 -3.700 8.116
Na 5.924 -2.164 6.579
Na 2.497 3.700 1.263
Na 7.782 4.689 0.274
Na 3.700 8.116 -2.497
Na 6.579 0.929 4.689
Na 2.164 6.579 -0.929
Na 8.116 2.497 3.153
Na 1.263 2.497 3.700
Na 2.164 0.274 5.924
Na 4.689 6.579 0.929
Na 5.590 4.356 3.153
Na -1.263 4.356 3.700
Na 4.689 0.274 7.782
Na 0.274 5.924 2.164
Na 3.153 -1.263 9.350
Na -0.929 2.164 6.579
Na 4.356 3.153 5.590
Na 0.929 9.016 0.274
Na 2.497 10.553 -1.263
Na 3.153 5.590 4.356
Na 0.274 0.929 9.016
Na 3.153 8.116 2.497
Na 7.127 5.924 4.689
Na 0.929 4.689 6.579
Na 2.497 3.153 8.116
Na -2.497 3.700 8.116
Na 5.924 4.689 7.127
Na -3.700 8.116 4.356
Na 0.274 7.782 4.689
Na -1.263 9.350 3.153
Na -2.164 6.579 5.924
Na -1.263 2.497 10.553
Na 4.689 7.127 5.924
H 0.000 0.000 0.000
H 3.426 3.426 -3.426
H 3.426 -3.426 3.426
H 6.853 0.000 0.000
H 10.279 1.713 0.000
H 6.853 -3.426 5.140
H 5.140 6.853 -3.426
H 5.140 0.000 3.426
H 3.426 5.140 0.000
H 6.853 3.426 1.713
H -3.426 3.426 3.426
H 0.000 6.853 0.000
H 0.000 0.000 6.853
H 3.426 3.426 3.426
H 0.000 3.426 5.140
H 3.426 1.713 6.853
H 1.713 6.853 3.426
H 1.713 0.000 10.279
H 0.000 10.279 1.713
H -3.426 5.140 6.853
O 3.426 1.713 0.000
O 6.853 3.426 -1.713
O 1.713 0.000 3.426
O 8.566 0.000 3.426
O 0.000 3.426 1.713
O 3.426 -1.713 6.853
O 3.426 8.566 0.000
O 6.853 3.426 5.140
O -1.713 6.853 3.426
O 5.140 6.853 3.426
O 0.000 3.426 8.566
O 3.426 5.140 6.853
```

Summary:
- uncorrected energy (eV/atom) = -2.874
- symmetry = Ia-3d (230)



Material: PaHgBi2
Method: DFT, PBE
State: optimized geometry

extended XYZ file:
```
4
Lattice="2.398 1.384 6.753 -2.398 1.384 6.753 0.000 -2.769 6.753" Properties=species:S:1:pos:R:3 pbc="T T T"
Pa 0.000 0.000 0.000
Hg 0.000 0.000 16.972
Bi 0.000 0.000 8.339
Bi 0.000 0.000 12.091
```

Summary:
- calculated formation energy (meV per atom) = 120
- symmetry = R3m (160)
- E above lowest polymorph (meV/atom) = 272



Material: PmNd3Rh3
Method: DFT, PBE
State: optimized geometry

extended XYZ file:
```
14
Lattice="4.690 -5.287 0.000 4.690 5.287 0.000 -0.077 0.000 7.185" Properties=species:S:1:pos:R:3 pbc="T T T"
Pm 2.316 0.000 0.903
Pm 6.987 0.000 6.283
Nd 4.652 3.371 3.593
Nd 4.690 2.671 0.000
Nd 3.038 0.000 4.491
Nd 6.265 0.000 2.695
Nd 4.690 -2.671 0.000
Nd 4.652 -3.371 3.593
Rh 2.346 2.636 1.954
Rh 0.516 0.000 5.768
Rh 6.957 2.636 5.231
Rh 2.346 -2.636 1.954
Rh 8.788 0.000 1.417
Rh 6.957 -2.636 5.231
```

Summary:
- calculated formation energy (meV per atom) = -553
- symmetry = C2/m (12)



Material: LaNiBr2
Method: DFT, PBE
State: optimized geometry

extended XYZ file:
```
4
Lattice="-1.906 2.654 4.547 1.906 -2.654 4.547 1.906 2.654 -4.547" Properties=species:S:1:pos:R:3 pbc="T T T"
La 0.000 0.000 0.000
Ni 0.000 0.000 4.547
Br 1.906 0.000 2.864
Br 0.000 2.654 1.682
```

Summary:
- uncorrected formation energy (eV/atom) = -0.743
- symmetry = Immm (71)
- E above lowest polymorph (meV/atom) = 173



Material: Sm2BiF
Method: DFT, PBE
State: optimized geometry

extended XYZ file:
```
4
Lattice="2.090 1.207 6.757 -2.090 1.207 6.757 0.000 -2.414 6.757" Properties=species:S:1:pos:R:3 pbc="T T T"
Sm 0.000 0.000 4.751
Sm 0.000 0.000 15.521
Bi 0.000 0.000 0.000
F 0.000 0.000 10.136
```

Summary:
- uncorrected formation energy (eV/atom) = -1.452
- symmetry = R-3m (166)



Material: SmGd
Method: DFT, PBE
State: optimized geometry

extended XYZ file:
```
2
Lattice="4.058 0.000 0.000 0.000 4.058 0.000 0.000 0.000 4.058" Properties=species:S:1:pos:R:3 pbc="T T T"
Sm 0.000 0.000 0.000
Gd 2.029 2.029 2.029
```

Summary:
- calculated formation energy (meV per atom) = 100
- symmetry = Pm-3m (221)
- E above lowest polymorph (meV/atom) = 75



Material: AcMg4Hg4
Method: DFT, PBE
State: optimized geometry

extended XYZ file:
```
18
Lattice="6.863 0.000 0.000 0.000 6.863 0.000 0.000 0.000 9.642" Properties=species:S:1:pos:R:3 pbc="T T T"
Ac 1.716 5.148 2.410
Ac 5.148 1.716 7.231
Mg 0.148 1.716 1.485
Mg 1.716 0.148 6.306
Mg 1.716 3.284 6.306
Mg 3.284 1.716 1.485
Mg 3.580 5.148 8.157
Mg 5.148 3.580 3.336
Mg 5.148 6.715 3.336
Mg 6.715 5.148 8.157
Hg 0.204 1.716 4.357
Hg 1.716 0.204 9.178
Hg 1.716 3.228 9.178
Hg 3.228 1.716 4.357
Hg 3.636 5.148 5.285
Hg 5.148 3.636 0.464
Hg 5.148 6.659 0.464
Hg 6.659 5.148 5.285
```

Summary:
- calculated formation energy (meV per atom) = -263
- symmetry = P4_2/nmc (137)



Material: GdZrN
Method: DFT, PBE
State: optimized geometry

extended XYZ file:
```
3
Lattice="3.388 0.000 0.000 -1.694 2.934 0.000 0.000 0.000 5.733" Properties=species:S:1:pos:R:3 pbc="T T T"
Gd 0.000 0.000 0.000
Zr 1.694 0.978 2.632
N 0.000 1.956 1.460
```

Summary:
- uncorrected formation energy (eV/atom) = -1.023
- symmetry = P3m1 (156)



Material: LaTh
Method: DFT, PBE
State: optimized geometry

extended XYZ file:
```
2
Lattice="4.082 0.000 0.000 0.000 4.082 0.000 0.000 0.000 4.082" Properties=species:S:1:pos:R:3 pbc="T T T"
La 0.000 0.000 0.000
Th 2.041 2.041 2.041
```

Summary:
- calculated formation energy (meV per atom) = 234
- symmetry = Pm-3m (221)
- E above lowest polymorph (meV/atom) = 219



Material: Al2SnIr2
Method: DFT, PBE
State: optimized geometry

extended XYZ file:
```
10
Lattice="7.457 0.000 0.000 0.000 7.457 0.000 0.000 0.000 2.921" Properties=species:S:1:pos:R:3 pbc="T T T"
Al 1.055 2.673 0.000
Al 2.673 6.402 0.000
Al 4.784 1.055 0.000
Al 6.402 4.784 0.000
Sn 0.000 0.000 1.461
Sn 3.729 3.729 1.461
Ir 1.127 4.856 1.461
Ir 2.601 1.127 1.461
Ir 4.856 6.330 1.461
Ir 6.330 2.601 1.461
```

Summary:
- calculated formation energy (meV per atom) = -538
- symmetry = P4/mbm (127)
- E above lowest polymorph (meV/atom) = 0



Material: GaSnIrS2
Method: DFT, PBE
State: optimized geometry

extended XYZ file:
```
5
Lattice="5.833 -1.801 0.000 5.833 1.801 0.000 -1.055 0.000 4.829" Properties=species:S:1:pos:R:3 pbc="T T T"
Ga 0.000 0.000 0.000
Sn 2.832 0.000 0.434
Ir 3.799 0.000 3.064
S 8.030 0.000 3.080
S 11.091 0.000 2.377
```

Summary:
- uncorrected formation energy (eV/atom) = -0.174
- symmetry = Cm (8)
- E above lowest polymorph (meV/atom) = 279



Material: TlCdPb2O5
Method: DFT, PBE
State: optimized geometry

extended XYZ file:
```
18
Lattice="1.786 -7.323 0.000 1.786 7.323 0.000 0.000 0.000 11.633" Properties=species:S:1:pos:R:3 pbc="T T T"
Tl 1.786 7.251 5.816
Tl 1.786 -7.251 0.000
Cd 1.786 3.540 0.038
Cd 1.786 -3.540 5.854
Pb 1.786 2.069 2.997
Pb 1.786 1.976 8.571
Pb 1.786 -1.976 2.755
Pb 1.786 -2.069 8.813
O 1.786 6.484 9.607
O 1.786 5.503 1.203
O 1.786 4.118 7.781
O 1.786 3.762 4.441
O 1.786 1.212 0.702
O 1.786 -1.212 6.518
O 1.786 -3.762 10.258
O 1.786 -4.118 1.965
O 1.786 -5.503 7.020
O 1.786 -6.484 3.790
```

Summary:
- uncorrected formation energy (eV/atom) = -0.882
- symmetry = Cmc2_1 (36)